Here is NaCd3N after structural relaxation from the Alexandria database. Energies are from PBE.

Cell: 4.749 4.749 4.749 Å, 90.00 90.00 90.00°
Atoms (fractional coordinates):
Na (0.000, 0.000, 0.000)
Cd (0.000, 0.500, 0.500)
Cd (0.500, 0.000, 0.500)
Cd (0.500, 0.500, 0.000)
N (0.500, 0.500, 0.500)

- E_form (uncorrected) (eV/atom) = 0.48
- energy (eV per cell) = -9.98
- size of the total moment (μB per formula unit) = 0.0

Here is NaCd3N after structural relaxation from the Alexandria database. Energies are from PBE.

Cell: 5.976 5.976 5.976 Å, 90.00 90.00 90.00°
Atoms (fractional coordinates):
Na (0.000, 0.000, 0.000)
Cd (0.000, 0.000, 0.500)
Cd (0.000, 0.500, 0.000)
Cd (0.500, 0.000, 0.000)
N (0.500, 0.500, 0.500)

- E_form (uncorrected) (eV/atom) = 1.33
- energy (eV per cell) = -5.72
- size of the total moment (μB per formula unit) = 2.4

Here is NaCdN after structural relaxation from the Alexandria database. Energies are from PBE.

Cell: 4.771 3.864 3.864 Å, 59.88 90.00 90.00°
Atoms (fractional coordinates):
Na (0.000, 0.000, 0.000)
Cd (0.500, 0.332, 0.332)
N (0.500, 0.999, 0.999)

- E_form (uncorrected) (eV/atom) = 0.34
- energy (eV per cell) = -9.55
- size of the total moment (μB per formula unit) = 0.0

Here is NaCdN after structural relaxation from the Alexandria database. Energies are from PBE.

Cell: 3.086 4.717 10.538 Å, 101.76 97.50 91.71°
Atoms (fractional coordinates):
Na (0.118, 0.135, 0.247)
Na (0.882, 0.865, 0.753)
Cd (0.283, 0.280, 0.565)
Cd (0.717, 0.720, 0.435)
N (0.474, 0.970, 0.944)
N (0.526, 0.030, 0.056)

- E_form (uncorrected) (eV/atom) = -0.03
- energy (eV per cell) = -21.28
- size of the total moment (μB per formula unit) = 0.0

Here is NaCdN3 after structural relaxation from the Alexandria database. Energies are from PBE.

Cell: 4.316 4.316 4.316 Å, 90.00 90.00 90.00°
Atoms (fractional coordinates):
Na (0.000, 0.000, 0.000)
Cd (0.500, 0.500, 0.500)
N (0.000, 0.500, 0.500)
N (0.500, 0.000, 0.500)
N (0.500, 0.500, 0.000)

- E_form (uncorrected) (eV/atom) = 1.98
- energy (eV per cell) = -17.29
- size of the total moment (μB per formula unit) = 4.6

Here is Na4Cd2N after structural relaxation from the Alexandria database. Energies are from PBE.

Cell: 9.590 9.590 9.590 Å, 151.81 151.81 40.29°
Atoms (fractional coordinates):
Na (0.000, 0.500, 0.500)
Na (0.198, 0.198, 0.000)
Na (0.500, 0.000, 0.500)
Na (0.802, 0.802, 0.000)
Cd (0.376, 0.376, 0.000)
Cd (0.624, 0.624, 0.000)
N (0.500, 0.500, 0.000)

- E_form (uncorrected) (eV/atom) = 0.09
- energy (eV per cell) = -14.78
- size of the total moment (μB per formula unit) = 0.0

Here is NaCdN3 after structural relaxation from the Alexandria database. Energies are from PBE.

Cell: 4.226 4.226 4.226 Å, 90.00 90.00 90.00°
Atoms (fractional coordinates):
Na (0.000, 0.000, 0.000)
Cd (0.500, 0.500, 0.500)
N (0.000, 0.000, 0.500)
N (0.000, 0.500, 0.000)
N (0.500, 0.000, 0.000)

- E_form (uncorrected) (eV/atom) = 2.49
- energy (eV per cell) = -14.74
- size of the total moment (μB per formula unit) = 6.0

Here is NaCdN after structural relaxation from the Alexandria database. Energies are from PBE.

Cell: 3.265 3.360 12.241 Å, 88.58 89.43 62.65°
Atoms (fractional coordinates):
Na (0.164, 0.168, 0.321)
Na (0.836, 0.832, 0.679)
Cd (0.176, 0.168, 0.898)
Cd (0.824, 0.832, 0.102)
N (0.500, 0.497, 0.548)
N (0.500, 0.503, 0.452)

- E_form (uncorrected) (eV/atom) = -0.05
- energy (eV per cell) = -21.42
- size of the total moment (μB per formula unit) = 0.0

Here is NaCdN after structural relaxation from the Alexandria database. Energies are from PBE.

Cell: 3.495 3.507 11.388 Å, 81.39 81.48 89.98°
Atoms (fractional coordinates):
Na (0.000, 0.000, 0.000)
Na (0.228, 0.235, 0.549)
Cd (0.406, 0.408, 0.190)
Cd (0.822, 0.827, 0.359)
N (0.533, 0.142, 0.734)
N (0.695, 0.101, 0.815)

- E_form (uncorrected) (eV/atom) = -0.01
- energy (eV per cell) = -21.17
- size of the total moment (μB per formula unit) = 0.0

Here is NaCdN after structural relaxation from the Alexandria database. Energies are from PBE.

Cell: 11.898 3.133 11.902 Å, 82.36 15.13 82.51°
Atoms (fractional coordinates):
Na (0.086, 0.914, 0.086)
Na (0.914, 0.086, 0.914)
Cd (0.302, 0.700, 0.300)
Cd (0.700, 0.302, 0.698)
N (0.474, 0.524, 0.476)
N (0.524, 0.474, 0.526)

- E_form (uncorrected) (eV/atom) = -0.05
- energy (eV per cell) = -21.40
- size of the total moment (μB per formula unit) = 0.0

Here is Na2CdNiN after structural relaxation from the Alexandria database. Energies are from PBE.

Cell: 5.150 5.150 3.487 Å, 90.00 90.00 90.00°
Atoms (fractional coordinates):
Na (0.000, 0.500, 0.000)
Na (0.500, 0.000, 0.000)
Cd (0.000, 0.000, 0.500)
Ni (0.500, 0.500, 0.500)
N (0.500, 0.500, 0.000)

- E_form (uncorrected) (eV/atom) = -0.03
- energy (eV per cell) = -17.82
- size of the total moment (μB per formula unit) = 0.0

Here is NaNp4CdN8 after structural relaxation from the Alexandria database. Energies are from PBE.

Cell: 6.897 6.897 6.897 Å, 60.42 60.42 60.42°
Atoms (fractional coordinates):
Na (0.000, 0.000, 0.000)
Np (0.505, 0.998, 0.998)
Np (0.529, 0.529, 0.529)
Np (0.998, 0.505, 0.998)
Np (0.998, 0.998, 0.505)
Cd (0.354, 0.354, 0.354)
N (0.207, 0.740, 0.740)
N (0.226, 0.226, 0.226)
N (0.290, 0.290, 0.768)
N (0.290, 0.768, 0.290)
N (0.740, 0.207, 0.740)
N (0.740, 0.740, 0.207)
N (0.768, 0.290, 0.290)
N (0.780, 0.780, 0.780)

- E_form (uncorrected) (eV/atom) = -0.68
- energy (eV per cell) = -130.16
- size of the total moment (μB per formula unit) = 7.0

Here is NaCdN2O after structural relaxation from the Alexandria database. Energies are from PBE.

Cell: 4.372 4.372 4.336 Å, 90.00 90.00 90.00°
Atoms (fractional coordinates):
Na (0.000, 0.000, 0.000)
Cd (0.500, 0.500, 0.500)
N (0.000, 0.500, 0.500)
N (0.500, 0.000, 0.500)
O (0.500, 0.500, 0.000)

- E_form (uncorrected) (eV/atom) = 1.20
- energy (eV per cell) = -17.82
- size of the total moment (μB per formula unit) = 3.8

Here is NaCdN2O after structural relaxation from the Alexandria database. Energies are from PBE.

Cell: 4.306 4.306 4.155 Å, 90.00 90.00 90.00°
Atoms (fractional coordinates):
Na (0.000, 0.000, 0.000)
Cd (0.500, 0.500, 0.500)
N (0.000, 0.500, 0.000)
N (0.500, 0.000, 0.000)
O (0.000, 0.000, 0.500)

- E_form (uncorrected) (eV/atom) = 1.68
- energy (eV per cell) = -15.44
- size of the total moment (μB per formula unit) = 5.0

Here is NaPaCdN3 after structural relaxation from the Alexandria database. Energies are from PBE.

Cell: 6.319 3.415 8.704 Å, 90.00 108.76 90.00°
Atoms (fractional coordinates):
Na (0.055, 0.250, 0.392)
Na (0.945, 0.750, 0.608)
Pa (0.500, 0.250, 0.305)
Pa (0.500, 0.750, 0.695)
Cd (0.151, 0.250, 0.921)
Cd (0.849, 0.750, 0.079)
N (0.249, 0.750, 0.119)
N (0.262, 0.250, 0.700)
N (0.351, 0.750, 0.413)
N (0.649, 0.250, 0.587)
N (0.738, 0.750, 0.300)
N (0.751, 0.250, 0.881)

- E_form (uncorrected) (eV/atom) = -0.37
- energy (eV per cell) = -77.80
- size of the total moment (μB per formula unit) = 0.0

Here is Na2CdRhN after structural relaxation from the Alexandria database. Energies are from PBE.

Cell: 5.089 5.089 3.744 Å, 90.00 90.00 90.00°
Atoms (fractional coordinates):
Na (0.000, 0.500, 0.000)
Na (0.500, 0.000, 0.000)
Cd (0.000, 0.000, 0.500)
Rh (0.500, 0.500, 0.500)
N (0.500, 0.500, 0.000)

- E_form (uncorrected) (eV/atom) = -0.01
- energy (eV per cell) = -19.30
- size of the total moment (μB per formula unit) = 0.0

Here is Na2CdRuN after structural relaxation from the Alexandria database. Energies are from PBE.

Cell: 4.928 4.928 3.789 Å, 90.00 90.00 90.00°
Atoms (fractional coordinates):
Na (0.000, 0.500, 0.000)
Na (0.500, 0.000, 0.000)
Cd (0.000, 0.000, 0.500)
Ru (0.500, 0.500, 0.500)
N (0.500, 0.500, 0.000)

- E_form (uncorrected) (eV/atom) = 0.13
- energy (eV per cell) = -20.53
- size of the total moment (μB per formula unit) = 0.0

Here is NaCdS2N after structural relaxation from the Alexandria database. Energies are from PBE.

Cell: 5.060 5.060 4.322 Å, 90.00 90.00 90.00°
Atoms (fractional coordinates):
Na (0.000, 0.000, 0.000)
Cd (0.500, 0.500, 0.500)
S (0.000, 0.500, 0.000)
S (0.500, 0.000, 0.000)
N (0.000, 0.000, 0.500)

- E_form (uncorrected) (eV/atom) = 1.16
- energy (eV per cell) = -13.00
- size of the total moment (μB per formula unit) = 3.9

Here is NaCdS2N after structural relaxation from the Alexandria database. Energies are from PBE.

Cell: 5.136 5.136 4.370 Å, 90.00 90.00 90.00°
Atoms (fractional coordinates):
Na (0.000, 0.000, 0.000)
Cd (0.500, 0.500, 0.500)
S (0.000, 0.500, 0.500)
S (0.500, 0.000, 0.500)
N (0.500, 0.500, 0.000)

- E_form (uncorrected) (eV/atom) = 0.70
- energy (eV per cell) = -15.30
- size of the total moment (μB per formula unit) = 2.7

Here is NaCdSeN2 after structural relaxation from the Alexandria database. Energies are from PBE.

Cell: 4.301 4.301 5.433 Å, 90.00 90.00 90.00°
Atoms (fractional coordinates):
Na (0.000, 0.000, 0.000)
Cd (0.500, 0.500, 0.500)
Se (0.000, 0.000, 0.500)
N (0.000, 0.500, 0.000)
N (0.500, 0.000, 0.000)

- E_form (uncorrected) (eV/atom) = 1.92
- energy (eV per cell) = -12.75
- size of the total moment (μB per formula unit) = 0.4

Here is NaCdSe2N after structural relaxation from the Alexandria database. Energies are from PBE.

Cell: 5.263 5.263 4.376 Å, 90.00 90.00 90.00°
Atoms (fractional coordinates):
Na (0.000, 0.000, 0.000)
Cd (0.500, 0.500, 0.500)
Se (0.000, 0.500, 0.000)
Se (0.500, 0.000, 0.000)
N (0.000, 0.000, 0.500)

- E_form (uncorrected) (eV/atom) = 1.04
- energy (eV per cell) = -12.33
- size of the total moment (μB per formula unit) = 3.5

Here is NaCdSeN2 after structural relaxation from the Alexandria database. Energies are from PBE.

Cell: 4.450 4.450 5.578 Å, 90.00 90.00 90.00°
Atoms (fractional coordinates):
Na (0.000, 0.000, 0.000)
Cd (0.500, 0.500, 0.500)
Se (0.500, 0.500, 0.000)
N (0.000, 0.500, 0.500)
N (0.500, 0.000, 0.500)

- E_form (uncorrected) (eV/atom) = 1.26
- energy (eV per cell) = -16.07
- size of the total moment (μB per formula unit) = 4.4

Here is NaCdSe2N after structural relaxation from the Alexandria database. Energies are from PBE.

Cell: 5.444 5.444 4.320 Å, 90.00 90.00 90.00°
Atoms (fractional coordinates):
Na (0.000, 0.000, 0.000)
Cd (0.500, 0.500, 0.500)
Se (0.000, 0.500, 0.500)
Se (0.500, 0.000, 0.500)
N (0.500, 0.500, 0.000)

- E_form (uncorrected) (eV/atom) = 0.61
- energy (eV per cell) = -14.46
- size of the total moment (μB per formula unit) = 3.2

Here is NaSr2CdN after structural relaxation from the Alexandria database. Energies are from PBE.

Cell: 5.266 5.266 4.996 Å, 90.00 90.00 90.00°
Atoms (fractional coordinates):
Na (0.000, 0.000, 0.000)
Sr (0.000, 0.500, 0.500)
Sr (0.500, 0.000, 0.500)
Cd (0.500, 0.500, 0.000)
N (0.000, 0.000, 0.500)

- E_form (uncorrected) (eV/atom) = -0.23
- energy (eV per cell) = -15.09
- size of the total moment (μB per formula unit) = 0.0

Here is Na2Sr6CdN after structural relaxation from the Alexandria database. Energies are from PBE.

Cell: 8.375 8.375 8.371 Å, 119.92 119.92 90.07°
Atoms (fractional coordinates):
Na (0.250, 0.750, 0.000)
Na (0.750, 0.250, 0.000)
Sr (0.225, 0.225, 0.498)
Sr (0.225, 0.773, 0.499)
Sr (0.226, 0.226, 0.952)
Sr (0.773, 0.225, 0.499)
Sr (0.773, 0.773, 0.048)
Sr (0.775, 0.775, 0.502)
Cd (0.500, 0.500, 0.500)
N (0.000, 0.000, 0.500)

- E_form (uncorrected) (eV/atom) = -0.14
- energy (eV per cell) = -23.38
- size of the total moment (μB per formula unit) = 0.0

Here is NaSr2CdN after structural relaxation from the Alexandria database. Energies are from PBE.

Cell: 5.295 5.295 5.013 Å, 90.00 90.00 90.00°
Atoms (fractional coordinates):
Na (0.000, 0.000, 0.000)
Sr (0.000, 0.500, 0.500)
Sr (0.500, 0.000, 0.500)
Cd (0.500, 0.500, 0.000)
N (0.500, 0.500, 0.500)

- E_form (uncorrected) (eV/atom) = -0.10
- energy (eV per cell) = -14.41
- size of the total moment (μB per formula unit) = 0.0

Here is NaCdTe2N after structural relaxation from the Alexandria database. Energies are from PBE.

Cell: 5.956 5.956 4.157 Å, 90.00 90.00 90.00°
Atoms (fractional coordinates):
Na (0.000, 0.000, 0.000)
Cd (0.500, 0.500, 0.500)
Te (0.000, 0.500, 0.500)
Te (0.500, 0.000, 0.500)
N (0.500, 0.500, 0.000)

- E_form (uncorrected) (eV/atom) = 0.64
- energy (eV per cell) = -13.67
- size of the total moment (μB per formula unit) = 2.3